1.
An optimized crystal structure of Pm2NdAu. Source: Alexandria via LeMat-Bulk, functional PBE.

Calculated values
D(E_F): 5.1 states/eV/f.u.
energy: -4.6391 eV per atom
formation energy: -24 kJ/mol of atoms
E above lowest polymorph: 0.61 eV/f.u.
mass density: 8143 kg/m³

Cell and atoms, written as CIF:
```
data_Pm2NdAu
_cell_length_a 3.8392
_cell_length_b 3.8392
_cell_length_c 30.2511
_cell_angle_alpha 90.00
_cell_angle_beta 90.00
_cell_angle_gamma 120.00
_symmetry_space_group_name_H-M 'R 3 m'
_symmetry_Int_Tables_number 160
_symmetry_space_group_name_Hall 'R 3 -2"'
loop_
_atom_site_label
_atom_site_type_symbol
_atom_site_fract_x
_atom_site_fract_y
_atom_site_fract_z
Pm1 Pm 0.0000 0.0000 0.0000
Pm2 Pm 0.0000 0.0000 0.1954
Nd1 Nd 0.0000 0.0000 0.4309
Au1 Au 0.0000 0.0000 0.5973
```

---

2.
An optimized crystal structure of Cs3GaSe. Source: Alexandria via LeMat-Bulk, functional PBE.

Calculated values
D(E_F): 8.0 states/eV/f.u.
energy: -2.1177 eV per atom
E above lowest polymorph: 0.00 eV/f.u.
mass density: 2671 kg/m³
formation energy without anion corrections: -146 kJ/mol of formula units

Cell and atoms, written as CIF:
```
data_Cs3GaSe
_cell_length_a 6.981
_cell_length_b 6.981
_cell_length_c 6.981
_cell_angle_alpha 90.00
_cell_angle_beta 90.00
_cell_angle_gamma 90.00
_symmetry_space_group_name_H-M 'P m -3 m'
_symmetry_Int_Tables_number 221
_symmetry_space_group_name_Hall '-P 4 2 3'
loop_
_atom_site_label
_atom_site_type_symbol
_atom_site_fract_x
_atom_site_fract_y
_atom_site_fract_z
Cs1 Cs 0.000 0.000 0.500
Ga1 Ga 0.500 0.500 0.500
Se1 Se 0.000 0.000 0.000
```

---

3.
An optimized crystal structure of Pm2NpGaN5. Source: Alexandria via LeMat-Bulk, functional PBE.

Calculated values
D(E_F): 1.9 states/eV/f.u.
energy: -8.4850 eV per atom
mass density: 8917 kg/m³
formation energy without anion corrections: -894 kJ/mol of formula units

Cell and atoms, written as CIF:
```
data_Pm2NpGaN5
_cell_length_a 3.427
_cell_length_b 14.059
_cell_length_c 10.308
_cell_angle_alpha 90.00
_cell_angle_beta 90.00
_cell_angle_gamma 90.00
_symmetry_space_group_name_H-M 'C m c 21'
_symmetry_Int_Tables_number 36
_symmetry_space_group_name_Hall 'C 2c -2'
loop_
_atom_site_label
_atom_site_type_symbol
_atom_site_fract_x
_atom_site_fract_y
_atom_site_fract_z
Pm1 Pm 0.000 0.106 0.000
Pm2 Pm 0.000 0.125 0.605
Np1 Np 0.000 0.213 0.315
Ga1 Ga 0.000 0.484 0.776
N1 N 0.000 0.058 0.353
N2 N 0.000 0.282 0.946
N3 N 0.000 0.297 0.686
N4 N 0.000 0.366 0.310
N5 N 0.000 0.498 0.089
```

---

4.
An optimized crystal structure of Pm8PrSc3. Source: Alexandria via LeMat-Bulk, functional PBE.

Calculated values
D(E_F): 18.5 states/eV/f.u.
energy: -5.0994 eV per atom
formation energy: 5 kJ/mol of atoms
mass density: 6241 kg/m³

Cell and atoms, written as CIF:
```
data_Pm8PrSc3
_cell_length_a 6.160
_cell_length_b 7.959
_cell_length_c 8.721
_cell_angle_alpha 111.56
_cell_angle_beta 90.03
_cell_angle_gamma 104.97
_symmetry_space_group_name_H-M 'P 1'
_symmetry_Int_Tables_number 1
_symmetry_space_group_name_Hall 'P 1'
loop_
_atom_site_label
_atom_site_type_symbol
_atom_site_fract_x
_atom_site_fract_y
_atom_site_fract_z
Pm1 Pm 0.000 0.000 0.000
Pm2 Pm 0.075 0.732 0.568
Pm3 Pm 0.158 0.489 0.159
Pm4 Pm 0.242 0.236 0.735
Pm5 Pm 0.411 0.752 0.916
Pm6 Pm 0.491 0.474 0.482
Pm7 Pm 0.746 0.745 0.242
Pm8 Pm 0.825 0.488 0.823
Pr1 Pr 0.656 0.993 0.656
Sc1 Sc 0.330 0.996 0.322
Sc2 Sc 0.581 0.241 0.081
Sc3 Sc 0.901 0.233 0.400
```

---

- Number 4 is which compound?
  Pm8PrSc3

---

- Which of these has the highest D(E_F)?
  Pm8PrSc3

---

- Which value of D(E_F) does entry 1 give?
  5.1 states/eV/f.u.

---

- Look up the D(E_F) of the first one.
  5.1 states/eV/f.u.